Compound: K2CeOs3O12
Source: Alexandria
Functional: GGA-PBE
Structure: relaxed

a b c (Å): 7.521 7.521 7.521
angles (deg): 58.20 58.20 58.20
Fractional coordinates of all 18 atoms:
K1 0.139 0.139 0.139
K2 0.861 0.861 0.861
Ce1 0.500 0.500 0.500
Os1 0.000 0.500 0.500
Os2 0.500 0.000 0.500
Os3 0.500 0.500 0.000
O1 0.134 0.586 0.586
O2 0.201 0.201 0.576
O3 0.201 0.576 0.201
O4 0.414 0.414 0.866
O5 0.414 0.866 0.414
O6 0.424 0.799 0.799
O7 0.576 0.201 0.201
O8 0.586 0.134 0.586
O9 0.586 0.586 0.134
O10 0.799 0.424 0.799
O11 0.799 0.799 0.424
O12 0.866 0.414 0.414

Computed properties:
Spin magnetization in μB per cell: 0.00
Uncorrected formation energy in meV/atom: -1531